An optimized crystal structure of LiAlCoOs2. Source: Alexandria, functional PBE-GGA.

Calculated values
The energy of formation from the pure elements is 1.009 eV per atom. The value obtained for the calculated volume is 13.1 Å³/atom. Its raw total energy is -6.036 eV/atom. The calculation puts the density of states at the Fermi level at 6.9 states/eV/cell.

a = 4.186 Å, b = 4.186 Å, c = 3.741 Å
α = 90.00°, β = 90.00°, γ = 90.00°
Atoms (fractional coordinates):
Li 0.000 0.000 0.000
Al 0.500 0.500 0.500
Co 0.000 0.000 0.500
Os 0.000 0.500 0.000
Os 0.500 0.000 0.000


An optimized crystal structure of LiAlCo2P. Source: Alexandria, functional PBE-GGA.

Calculated values
The energy of formation from the pure elements is 0.047 eV per atom. The value obtained for the calculated volume is 14.2 Å³/atom. Its raw total energy is -5.009 eV/atom. The calculation puts the density of states at the Fermi level at 2.9 states/eV/cell.

a = 4.125 Å, b = 4.125 Å, c = 4.179 Å
α = 90.00°, β = 90.00°, γ = 90.00°
Atoms (fractional coordinates):
Li 0.000 0.000 0.000
Al 0.500 0.500 0.000
Co 0.000 0.500 0.500
Co 0.500 0.000 0.500
P 0.000 0.000 0.500


An optimized crystal structure of LiPaAlCo. Source: Alexandria, functional PBE-GGA.

Calculated values
The energy of formation from the pure elements is -0.203 eV per atom. The value obtained for the calculated volume is 16.2 Å³/atom. Its raw total energy is -5.768 eV/atom. The calculation puts the density of states at the Fermi level at 1.6 states/eV/cell.

a = 4.509 Å, b = 4.509 Å, c = 4.509 Å
α = 60.00°, β = 60.00°, γ = 60.00°
Atoms (fractional coordinates):
Li 0.000 0.000 0.000
Pa 0.750 0.750 0.750
Al 0.250 0.250 0.250
Co 0.500 0.500 0.500


An optimized crystal structure of LiPmAlCo. Source: Alexandria, functional PBE-GGA.

Calculated values
The energy of formation from the pure elements is -0.145 eV per atom. The value obtained for the calculated volume is 17.2 Å³/atom. Its raw total energy is -4.523 eV/atom. The calculation puts the density of states at the Fermi level at 4.6 states/eV/cell.

a = 4.600 Å, b = 4.600 Å, c = 4.600 Å
α = 60.00°, β = 60.00°, γ = 60.00°
Atoms (fractional coordinates):
Li 0.000 0.000 0.000
Pm 0.250 0.250 0.250
Al 0.750 0.750 0.750
Co 0.500 0.500 0.500


An optimized crystal structure of Li2AlCoRh. Source: Alexandria, functional PBE-GGA.

Calculated values
The energy of formation from the pure elements is 0.619 eV per atom. The value obtained for the calculated volume is 17.9 Å³/atom. Its raw total energy is -3.786 eV/atom. The calculation puts the density of states at the Fermi level at 4.5 states/eV/cell.

a = 4.402 Å, b = 4.402 Å, c = 4.615 Å
α = 90.00°, β = 90.00°, γ = 90.00°
Atoms (fractional coordinates):
Li 0.000 0.500 0.000
Li 0.500 0.000 0.000
Al 0.000 0.000 0.500
Co 0.500 0.500 0.500
Rh 0.500 0.500 0.000


An optimized crystal structure of LiAlCoRh. Source: Alexandria, functional PBE-GGA.

Calculated values
The energy of formation from the pure elements is -0.384 eV per atom. The value obtained for the calculated volume is 12.3 Å³/atom. Its raw total energy is -5.412 eV/atom. The calculation puts the density of states at the Fermi level at 5.6 states/eV/cell.

a = 4.110 Å, b = 4.110 Å, c = 4.110 Å
α = 60.00°, β = 60.00°, γ = 60.00°
Atoms (fractional coordinates):
Li 0.000 0.000 0.000
Al 0.500 0.500 0.500
Co 0.750 0.750 0.750
Rh 0.250 0.250 0.250


An optimized crystal structure of LiAl2CoRu. Source: Alexandria, functional PBE-GGA.

Calculated values
The energy of formation from the pure elements is 0.461 eV per atom. The value obtained for the calculated volume is 14.9 Å³/atom. Its raw total energy is -4.695 eV/atom. The calculation puts the density of states at the Fermi level at 2.4 states/eV/cell.

a = 4.330 Å, b = 4.330 Å, c = 3.984 Å
α = 90.00°, β = 90.00°, γ = 90.00°
Atoms (fractional coordinates):
Li 0.000 0.000 0.000
Al 0.000 0.500 0.500
Al 0.500 0.000 0.500
Co 0.000 0.000 0.500
Ru 0.500 0.500 0.000


An optimized crystal structure of Sr2LiAl12Co3. Source: Alexandria, functional PBE-GGA.

Calculated values
The energy of formation from the pure elements is 0.060 eV per atom. The value obtained for the calculated volume is 23.4 Å³/atom. Its raw total energy is -3.912 eV/atom. The calculation puts the density of states at the Fermi level at 6.3 states/eV/cell.

a = 8.091 Å, b = 8.091 Å, c = 8.091 Å
α = 65.62°, β = 65.62°, γ = 65.62°
Atoms (fractional coordinates):
Sr 0.104 0.104 0.104
Sr 0.896 0.896 0.896
Li 0.500 0.500 0.500
Al 0.140 0.609 0.609
Al 0.222 0.222 0.559
Al 0.222 0.559 0.222
Al 0.391 0.391 0.860
Al 0.391 0.860 0.391
Al 0.441 0.778 0.778
Al 0.559 0.222 0.222
Al 0.609 0.140 0.609
Al 0.609 0.609 0.140
Al 0.778 0.441 0.778
Al 0.778 0.778 0.441
Al 0.860 0.391 0.391
Co 0.000 0.500 0.500
Co 0.500 0.000 0.500
Co 0.500 0.500 0.000


An optimized crystal structure of SrLiAl2Co. Source: Alexandria, functional PBE-GGA.

Calculated values
The energy of formation from the pure elements is -0.181 eV per atom. The value obtained for the calculated volume is 20.6 Å³/atom. Its raw total energy is -3.818 eV/atom. The calculation puts the density of states at the Fermi level at 2.2 states/eV/cell.

a = 4.580 Å, b = 4.580 Å, c = 4.914 Å
α = 90.00°, β = 90.00°, γ = 90.00°
Atoms (fractional coordinates):
Sr 0.000 0.000 0.000
Li 0.500 0.500 0.000
Al 0.000 0.500 0.500
Al 0.500 0.000 0.500
Co 0.500 0.500 0.500


An optimized crystal structure of LiTaAl2Co. Source: Alexandria, functional PBE-GGA.

Calculated values
The energy of formation from the pure elements is 0.252 eV per atom. The value obtained for the calculated volume is 18.4 Å³/atom. Its raw total energy is -5.419 eV/atom. The calculation puts the density of states at the Fermi level at 4.6 states/eV/cell.

a = 4.480 Å, b = 4.480 Å, c = 4.573 Å
α = 90.00°, β = 90.00°, γ = 90.00°
Atoms (fractional coordinates):
Li 0.000 0.000 0.000
Ta 0.500 0.500 0.000
Al 0.000 0.500 0.500
Al 0.500 0.000 0.500
Co 0.500 0.500 0.500


An optimized crystal structure of LiTaAlCo. Source: Alexandria, functional PBE-GGA.

Calculated values
The energy of formation from the pure elements is -0.334 eV per atom. The value obtained for the calculated volume is 13.1 Å³/atom. Its raw total energy is -6.488 eV/atom.

a = 4.205 Å, b = 4.205 Å, c = 4.205 Å
α = 60.00°, β = 60.00°, γ = 60.00°
Atoms (fractional coordinates):
Li 0.000 0.000 0.000
Ta 0.750 0.750 0.750
Al 0.250 0.250 0.250
Co 0.500 0.500 0.500


An optimized crystal structure of LiThAlCo. Source: Alexandria, functional PBE-GGA.

Calculated values
The energy of formation from the pure elements is -0.229 eV per atom. The value obtained for the calculated volume is 17.5 Å³/atom. Its raw total energy is -5.274 eV/atom. The calculation puts the density of states at the Fermi level at 4.5 states/eV/cell.

a = 4.626 Å, b = 4.626 Å, c = 4.626 Å
α = 60.00°, β = 60.00°, γ = 60.00°
Atoms (fractional coordinates):
Li 0.000 0.000 0.000
Th 0.750 0.750 0.750
Al 0.250 0.250 0.250
Co 0.500 0.500 0.500


An optimized crystal structure of LiTmAlCo. Source: Alexandria, functional PBE-GGA.

Calculated values
The energy of formation from the pure elements is -0.239 eV per atom. The value obtained for the calculated volume is 16.0 Å³/atom. Its raw total energy is -4.548 eV/atom. The calculation puts the density of states at the Fermi level at 4.1 states/eV/cell.

a = 4.485 Å, b = 4.485 Å, c = 4.485 Å
α = 60.00°, β = 60.00°, γ = 60.00°
Atoms (fractional coordinates):
Li 0.000 0.000 0.000
Tm 0.750 0.750 0.750
Al 0.250 0.250 0.250
Co 0.500 0.500 0.500


An optimized crystal structure of LiAl2VCo. Source: Alexandria, functional PBE-GGA.

Calculated values
The energy of formation from the pure elements is 0.607 eV per atom. The value obtained for the calculated volume is 13.4 Å³/atom. Its raw total energy is -4.517 eV/atom. The calculation puts the density of states at the Fermi level at 4.3 states/eV/cell.

a = 4.171 Å, b = 4.171 Å, c = 3.841 Å
α = 90.00°, β = 90.00°, γ = 90.00°
Atoms (fractional coordinates):
Li 0.000 0.000 0.000
Al 0.000 0.500 0.000
Al 0.500 0.000 0.000
V 0.500 0.500 0.500
Co 0.000 0.000 0.500